Entry 1:
VASP calculation (PBE-GGA) on RbSrReTc2 after structural relaxation.

Cell: 5.4536 5.7709 5.4536 Å, 90.00 90.00 90.00°
Closest atoms and distances in Å follow each position.
Fractional coordinates of all 5 atoms:
Rb 0.5000 0.5000 0.5000  4 Re 3.86, 8 Tc 3.97
Re 0.0000 0.5000 0.0000  2 Sr 2.89
Tc 0.5000 0.0000 0.0000  2 Sr 2.73
Tc 0.0000 0.0000 0.5000  2 Sr 2.73
Sr 0.0000 0.0000 0.0000  4 Tc 2.73, 2 Re 2.89

Computed properties:
Its space group is P4/mmm, No. 123. The calculation puts the volume at 34.3 Å³/atom. As for the calculated formation energy: 3.015 eV per atom. For the calculated density, the calculation gives 5372 kg/m3.

***

Entry 2:
VASP calculation (PBE-GGA) on CePu2Hg3Bi3 after structural relaxation.

Cell: 4.2818 8.4714 8.4714 Å, 120.00 90.00 90.00°
Closest atoms and distances in Å follow each position.
Fractional coordinates of all 9 atoms:
Hg 0.5000 0.0000 0.7263  2 Pu 3.11, 2 Ce 3.16, 2 Bi 3.42
Hg 0.5000 0.7263 0.0000  2 Pu 3.11, 2 Ce 3.16, 2 Bi 3.42
Hg 0.5000 0.2737 0.2737  2 Pu 3.11, 2 Ce 3.16, 2 Bi 3.42
Ce 0.0000 0.0000 0.0000  6 Hg 3.16, 3 Bi 3.49
Pu 0.5000 0.6667 0.3333  3 Hg 3.11, 6 Bi 3.33
Pu 0.5000 0.3333 0.6667  3 Hg 3.11, 6 Bi 3.33
Bi 0.0000 0.5882 0.5882  4 Pu 3.33, 2 Hg 3.42, 1 Ce 3.49
Bi 0.0000 0.4118 0.0000  4 Pu 3.33, 2 Hg 3.42, 1 Ce 3.49
Bi 0.0000 0.0000 0.4118  4 Pu 3.33, 2 Hg 3.42, 1 Ce 3.49

Computed properties:
Its space group is P-62m, No. 189. The calculation puts the volume at 29.6 Å³/atom. As for the calculated formation energy: -0.249 eV per atom. For the calculated density, the calculation gives 11587 kg/m3.

***

Entry 3:
VASP calculation (PBE-GGA) on TaMnRh2 after structural relaxation.

Cell: 6.8378 6.8378 5.5067 Å, 51.62 51.62 90.00°
Closest atoms and distances in Å follow each position.
Fractional coordinates of all 8 atoms:
Ta 0.7500 0.2500 0.5000  2 Mn 2.64, 4 Rh 2.66
Ta 0.0000 0.0000 0.0000  2 Mn 2.64, 4 Rh 2.66
Rh 0.1562 0.6250 0.2500  2 Mn 2.37
Rh 0.8750 0.8438 0.7500  2 Mn 2.37
Rh 0.3750 0.4062 0.7500  2 Mn 2.37
Rh 0.5938 0.1250 0.2500  2 Mn 2.37
Mn 0.5000 0.5000 0.0000  4 Rh 2.37, 2 Ta 2.64
Mn 0.2500 0.7500 0.5000  4 Rh 2.37, 2 Ta 2.64

Computed properties:
Its space group is I-42d, No. 122. The calculation puts the volume at 15.4 Å³/atom. As for the calculated formation energy: 0.262 eV per atom. For the calculated density, the calculation gives 11904 kg/m3.

***

Entry 4:
VASP calculation (PBE-GGA) on Ca2UPaO8 after structural relaxation.

Cell: 3.7507 5.5812 7.5003 Å, 90.00 90.00 90.05°
Closest atoms and distances in Å follow each position.
Fractional coordinates of all 12 atoms:
O 0.5007 0.7791 0.0000  2 U 2.24-2.25, 2 Ca 2.43, 1 O 2.47
O 0.0006 0.7751 0.2380  1 U 2.18, 1 Pa 2.33, 2 Ca 2.42-2.43
O 0.0006 0.7751 0.7620  1 U 2.18, 1 Pa 2.33, 2 Ca 2.42-2.43
O 0.5004 0.7703 0.5000  2 Pa 2.27, 2 Ca 2.41
O 0.9994 0.2249 0.2380  1 U 2.18, 1 Pa 2.33, 2 Ca 2.42-2.43
O 0.9994 0.2249 0.7620  1 U 2.18, 1 Pa 2.33, 2 Ca 2.42-2.43
O 0.4996 0.2297 0.5000  2 Pa 2.27, 2 Ca 2.41
O 0.4993 0.2209 0.0000  2 U 2.24-2.25, 2 Ca 2.43, 1 O 2.47
U 0.0000 0.0000 0.0000  8 O 2.18-2.25
Pa 0.0000 0.0000 0.5000  8 O 2.27-2.33
Ca 0.5000 0.5000 0.7506  8 O 2.41-2.43
Ca 0.5000 0.5000 0.2494  8 O 2.41-2.43

Computed properties:
Its space group is Pmmm, No. 47. The calculation puts the volume at 13.1 Å³/atom. The calculation puts the formation energy (no corrections) at -302.1 kJ per mole of atoms. For the calculated density, the calculation gives 7162 kg/m3.